# KNa2CuP

KNa2CuP after structural relaxation (GGA-PBE, Alexandria).

Cell and atoms, written as extended XYZ:
```
5
Lattice="5.691 0.000 0.000 0.000 5.691 0.000 0.000 0.000 4.425" Properties=species:S:1:pos:R:3 pbc="T T T"
K 0.000 0.000 0.000
Na 0.000 2.846 2.213
Na 2.846 0.000 2.213
Cu 2.846 2.846 0.000
P 2.846 2.846 2.213
```

Energy relative to the elements (eV/atom): -0.072
Calculated volume (A^3/atom): 28.66
Total magnetization (μB/atom): 0.001

# BaTlSiP2

BaTlSiP2 after structural relaxation (GGA-PBE, Alexandria).

Cell and atoms, written as extended XYZ:
```
5
Lattice="5.124 0.000 0.000 0.000 5.124 0.000 0.000 0.000 6.370" Properties=species:S:1:pos:R:3 pbc="T T T"
Ba 0.000 0.000 0.000
Tl 0.000 0.000 3.185
Si 2.562 2.562 0.000
P 0.000 2.562 3.185
P 2.562 0.000 3.185
```

ΔE_f (raw) (eV/atom): 0.988
Calculated volume (A^3/atom): 33.44
Total magnetization (μB/atom): 0.000

# ZrSi2Pt

ZrSi2Pt after structural relaxation (GGA-PBE, Alexandria).

Cell and atoms, written as extended XYZ:
```
4
Lattice="3.102 0.000 0.000 0.000 3.102 0.000 0.000 0.000 6.683" Properties=species:S:1:pos:R:3 pbc="T T T"
Zr 0.000 0.000 0.000
Si 1.551 1.551 1.876
Si 1.551 1.551 4.806
Pt 0.000 0.000 3.341
```

ΔE_f (raw) (eV/atom): -0.405
Calculated volume (A^3/atom): 16.08
Total magnetization (μB/atom): 0.000

# Mn2RuN2

Mn2RuN2 after structural relaxation (GGA-PBE, Alexandria).

Cell and atoms, written as extended XYZ:
```
5
Lattice="-1.736 1.736 4.278 1.736 -1.736 4.278 1.736 1.736 -4.278" Properties=species:S:1:pos:R:3 pbc="T T T"
Mn 1.736 0.000 2.139
Mn 0.000 1.736 2.139
Ru 0.000 0.000 0.000
N 0.000 0.000 2.899
N 0.000 0.000 5.658
```

ΔE_f (raw) (eV/atom): 0.454
Calculated volume (A^3/atom): 10.32
Total magnetization (μB/atom): 0.330